A geometry-optimized GaPHPtS structure, computed with PBE-GGA.

## Properties
Its space group is No. 8. Its relative energy among the computed polymorphs is 21 meV/atom. The calculation puts the density of states at the Fermi level at 0.8 states/eV per cell. The total energy is -4.698 eV/atom.

a b c (Å): 8.1808 3.7112 6.0205
angles (deg): 90.00 99.70 90.00
Closest atoms and distances in Å follow each position.
Fractional coordinates of all 10 atoms:
H1 0.8184 0.5000 0.2085  1 P 1.43
Ga1 0.2362 0.5000 0.6319  3 S 2.35-2.40, 1 Pt 2.58
Ga2 0.2362 0.0000 0.1319  3 S 2.35-2.40, 1 Pt 2.58
S1 0.0912 0.0000 0.4365  3 Ga 2.35-2.40
S2 0.0912 0.5000 0.9365  3 Ga 2.35-2.40
Pt1 0.5234 0.0000 0.0098  3 P 2.29
P1 0.6419 0.0000 0.6921  1 H 1.43
P2 0.6419 0.5000 0.1921  1 H 1.43
H2 0.8184 0.0000 0.7085  1 P 1.43
Pt2 0.5234 0.5000 0.5098  3 P 2.29

A geometry-optimized In14SnHg structure, computed with PBE-GGA.

## Properties
Its space group is No. 38. The formation energy is 1.3 kJ per mole of atoms. The calculation puts the density of states at the Fermi level at 4.8 states/eV per cell. The total energy is -2.652 eV/atom.

a b c (Å): 6.6915 6.6915 11.0923
angles (deg): 90.00 90.00 119.70
Closest atoms and distances in Å follow each position.
Fractional coordinates of all 16 atoms:
In1 0.5440 0.9552 0.5000  2 Sn 3.34-3.36, 2 Hg 3.34-3.35, 8 In 3.36-3.39
In2 0.3741 0.6259 0.7484  11 In 3.34-3.40, 1 Hg 3.38
In3 0.3758 0.1282 0.2515  10 In 3.33-3.40, 1 Hg 3.35, 1 Sn 3.36
In4 0.7070 0.7917 0.0000  12 In 3.34-3.40
In5 0.8718 0.6242 0.2515  10 In 3.33-3.40, 1 Hg 3.35, 1 Sn 3.36
In6 0.2076 0.7924 0.0000  12 In 3.34-3.40
Hg1 0.5440 0.4560 0.5000  10 In 3.34-3.38, 2 Sn 3.36
In7 0.8718 0.6242 0.7485  10 In 3.33-3.40, 1 Hg 3.35, 1 Sn 3.36
In8 0.3741 0.6259 0.2516  11 In 3.34-3.40, 1 Hg 3.38
Sn1 0.0452 0.9548 0.5000  10 In 3.34-3.41, 2 Hg 3.36
In9 0.2083 0.2930 0.0000  12 In 3.34-3.40
In10 0.8739 0.1261 0.7500  11 In 3.34-3.39, 1 Sn 3.41
In11 0.0448 0.4560 0.5000  2 Sn 3.34-3.36, 2 Hg 3.34-3.35, 8 In 3.36-3.39
In12 0.3758 0.1282 0.7485  10 In 3.33-3.40, 1 Hg 3.35, 1 Sn 3.36
In13 0.7078 0.2922 0.0000  12 In 3.35-3.39
In14 0.8739 0.1261 0.2500  11 In 3.34-3.39, 1 Sn 3.41

A geometry-optimized Ba3Cd2InHg6 structure, computed with PBE-GGA.

## Properties
Its space group is No. 164. The formation energy is -28.9 kJ per mole of atoms. The calculation puts the density of states at the Fermi level at 6.4 states/eV per cell. The total energy is -1.312 eV/atom.

a b c (Å): 6.6385 6.6385 10.1421
angles (deg): 90.00 90.00 120.00
Closest atoms and distances in Å follow each position.
Fractional coordinates of all 12 atoms:
Cd1 0.6667 0.3333 0.0078  3 Hg 3.31
Cd2 0.3333 0.6667 0.9922  3 Hg 3.31
Hg1 0.8212 0.1788 0.7326  2 Hg 3.08, 1 In 3.13, 1 Cd 3.31, 1 Ba 3.40
Ba1 0.3333 0.6667 0.6160  6 Hg 3.53, 1 Cd 3.81
Hg2 0.6423 0.8212 0.2674  2 Hg 3.08, 1 In 3.13, 1 Cd 3.31, 1 Ba 3.40
Hg3 0.8212 0.6423 0.7326  2 Hg 3.08, 1 In 3.13, 1 Cd 3.31, 1 Ba 3.40
Ba2 0.6667 0.3333 0.3840  6 Hg 3.53, 1 Cd 3.81
Hg4 0.1788 0.8212 0.2674  2 Hg 3.08, 1 In 3.13, 1 Cd 3.31, 1 Ba 3.40
In1 0.0000 0.0000 0.5000  6 Hg 3.13
Hg5 0.1788 0.3577 0.2674  2 Hg 3.08, 1 In 3.13, 1 Cd 3.31, 1 Ba 3.40
Hg6 0.3577 0.1788 0.7326  2 Hg 3.08, 1 In 3.13, 1 Cd 3.31, 1 Ba 3.40
Ba3 0.0000 0.0000 0.0000  6 Hg 3.40

A geometry-optimized LaDyRuAu structure, computed with PBE-GGA.

## Properties
Its space group is No. 216. The formation energy is -46.7 kJ per mole of atoms. The calculation puts the density of states at the Fermi level at 2.9 states/eV per cell. The total energy is -6.005 eV/atom.

a b c (Å): 5.0748 5.0748 5.0748
angles (deg): 60.00 60.00 60.00
Closest atoms and distances in Å follow each position.
Fractional coordinates of all 4 atoms:
Ru1 0.7500 0.7500 0.7500  4 Dy 3.11, 4 La 3.11
Au1 0.2500 0.2500 0.2500  4 La 3.11, 4 Dy 3.11
Dy1 0.5000 0.5000 0.5000  4 Ru 3.11, 4 Au 3.11
La1 0.0000 0.0000 0.0000  4 Ru 3.11, 4 Au 3.11

A geometry-optimized Tb2Pm6Dy3Y structure, computed with PBE-GGA.

## Properties
Its space group is No. 12. The formation energy is 1.1 kJ per mole of atoms. The calculation puts the density of states at the Fermi level at 14.3 states/eV per cell. The total energy is -4.825 eV/atom.

a b c (Å): 6.2518 6.2518 11.8746
angles (deg): 95.02 95.02 119.99
Closest atoms and distances in Å follow each position.
Fractional coordinates of all 12 atoms:
Pm1 0.7501 0.7501 0.2507  3 Dy 3.58, 1 Y 3.60, 2 Tb 3.60, 6 Pm 3.61-3.62
Pm2 0.4180 0.0840 0.2506  3 Dy 3.58-3.59, 2 Tb 3.59-3.60, 1 Y 3.60, 6 Pm 3.61-3.62
Pm3 0.2499 0.2499 0.7493  3 Dy 3.58, 1 Y 3.60, 2 Tb 3.60, 6 Pm 3.61-3.62
Pm4 0.5820 0.9160 0.7494  3 Dy 3.58-3.59, 2 Tb 3.59-3.60, 1 Y 3.60, 6 Pm 3.61-3.62
Pm5 0.9160 0.5820 0.7494  3 Dy 3.58-3.59, 2 Tb 3.59-3.60, 1 Y 3.60, 6 Pm 3.61-3.62
Dy1 0.8334 0.1666 0.5000  6 Pm 3.58-3.59, 6 Dy 3.61
Dy2 0.5000 0.5000 0.5000  6 Pm 3.58, 6 Dy 3.61
Tb1 0.3333 0.6667 0.0000  6 Pm 3.59-3.60, 3 Y 3.61, 3 Tb 3.61
Pm6 0.0840 0.4180 0.2506  3 Dy 3.58-3.59, 2 Tb 3.59-3.60, 1 Y 3.60, 6 Pm 3.61-3.62
Y1 0.0000 0.0000 0.0000  6 Pm 3.60, 6 Tb 3.61
Tb2 0.6667 0.3333 0.0000  6 Pm 3.59-3.60, 3 Y 3.61, 3 Tb 3.61
Dy3 0.1666 0.8334 0.5000  6 Pm 3.58-3.59, 6 Dy 3.61

A geometry-optimized RbVHgP2 structure, computed with PBE-GGA.

## Properties
Its space group is No. 123. The formation energy is 150.8 kJ per mole of atoms. The calculation puts the density of states at the Fermi level at 8.2 states/eV per cell. The total energy is -2.679 eV/atom.

a b c (Å): 5.1287 5.7199 5.1287
angles (deg): 90.00 90.00 90.00
Closest atoms and distances in Å follow each position.
Fractional coordinates of all 5 atoms:
Hg1 0.0000 0.0000 0.0000  4 P 2.56, 2 Rb 2.86
Rb1 0.0000 0.5000 0.0000  2 Hg 2.86
P1 0.0000 0.0000 0.5000  2 Hg 2.56
P2 0.5000 0.0000 0.0000  2 Hg 2.56
V1 0.5000 0.5000 0.5000  4 Rb 3.63, 8 P 3.84

A geometry-optimized Gd2LuGa structure, computed with PBE-GGA.

## Properties
Its space group is No. 225. Its relative energy among the computed polymorphs is 120 meV/atom. The formation energy is -13.3 kJ per mole of atoms. The calculation puts the density of states at the Fermi level at 4.8 states/eV per cell. The total energy is -9.065 eV/atom.

a b c (Å): 5.3113 5.3113 5.3113
angles (deg): 60.00 60.00 60.00
Closest atoms and distances in Å follow each position.
Fractional coordinates of all 4 atoms:
Gd1 0.7500 0.7500 0.7500  4 Ga 3.25, 4 Lu 3.25
Lu1 0.0000 0.0000 0.0000  8 Gd 3.25
Gd2 0.2500 0.2500 0.2500  4 Ga 3.25, 4 Lu 3.25
Ga1 0.5000 0.5000 0.5000  8 Gd 3.25

A geometry-optimized TlSe2Br structure, computed with PBE-GGA.

## Properties
Its uncorrected formation energy is 1.5 eV/f.u. Its space group is No. 166. Its relative energy among the computed polymorphs is 640 meV/atom. The calculation puts the density of states at the Fermi level at 2.5 states/eV per cell. The total energy is -2.388 eV/atom.

a b c (Å): 14.2791 14.2791 14.2791
angles (deg): 12.21 12.21 12.21
Closest atoms and distances in Å follow each position.
Fractional coordinates of all 4 atoms:
Tl1 0.0000 0.0000 0.0000  2 Se 2.98, 6 Tl 3.04
Se1 0.0701 0.0701 0.0701  1 Tl 2.98, 6 Se 3.04
Se2 0.9299 0.9299 0.9299  1 Tl 2.98, 6 Se 3.04
Br1 0.5000 0.5000 0.5000  6 Br 3.04